K2CuTeRh GGA-PBE relaxed; uncorrected formation energy = 7.6 kcal/mol of atoms; V = 44.43 A^3/atom; space-group type = P4/mmm
1.0
6.727 0.000 0.000
0.000 4.909 0.000
0.000 0.000 6.727
Rh Te Cu K
1 1 1 2
Cartesian
0.000 2.454 0.000 Rh
0.000 0.000 0.000 Te
3.364 2.454 3.364 Cu
0.000 0.000 3.364 K
3.364 0.000 0.000 K